Material: MnZnN2F
Method: DFT, PBE with a Hubbard U
State: optimized geometry

a = 3.8776 Å, b = 3.8776 Å, c = 3.9144 Å
α = 90.00°, β = 90.00°, γ = 90.00°
Space group P4/mmm (No. 123)
Symmetry-distinct sites (fractional):
Mn  0.0000  0.0000  0.0000 x1
Zn  0.5000  0.5000  0.5000 x1
N  0.0000  0.5000  0.0000 x2
F  0.0000  0.0000  0.5000 x1

crystal system	tetragonal
calculated density	4.7	g/cm3
size of the total moment	2.06	μB per formula unit
energy above the lowest structure with this stoichiometry	0.000	eV/atom
volume	58.86	Å³/cell